RbCo2S2 | PBEsol | relaxed

It has space group I4/mmm (No. 139), with a = 3.678 Å, b = 3.678 Å, c = 13.009 Å, α = 90.00°, β = 90.00° and γ = 90.00°. The distinct sites, in fractional coordinates, are Rb at (0.000, 0.000, 0.000), Co at (0.000, 0.500, 0.250) and S at (0.000, 0.000, 0.341).

As for the volume: 17.6 A^3/atom. The magnetic moment is 3.34 Bohr magnetons per cell. As for the uncorrected formation energy: -0.693 eV per atom.


ScTl2Cl | PBEsol | relaxed

It has space group Immm (No. 71), with a = 3.185 Å, b = 4.125 Å, c = 14.981 Å, α = 90.00°, β = 90.00° and γ = 90.00°. The distinct sites, in fractional coordinates, are Sc at (0.000, 0.000, 0.000), Tl at (0.000, 0.500, 0.315) and Cl at (0.000, 0.000, 0.500).

As for the volume: 24.6 A^3/atom. The magnetic moment is 0.00 Bohr magnetons per cell. As for the uncorrected formation energy: -0.563 eV per atom.


Li2ZnPt | PBEsol | relaxed

It has space group I4/mmm (No. 139), with a = 3.696 Å, b = 3.696 Å, c = 7.798 Å, α = 90.00°, β = 90.00° and γ = 90.00°. The distinct sites, in fractional coordinates, are Li at (0.000, 0.500, 0.250), Zn at (0.000, 0.000, 0.000) and Pt at (0.000, 0.000, 0.500).

As for the volume: 13.3 A^3/atom. The calculation puts the formation energy at -0.45 eV per atom. The magnetic moment is 0.00 Bohr magnetons per cell.